(1)
{"formula": "K2GaBr5", "functional": "PBE", "state": "optimized geometry", "de_polymorph_ev_per_atom": 0.000, "volume_a3_per_cell": 1604, "crystal_system": "orthorhombic", "m_tot_mub_per_cell": 0.56, "lattice_angstrom": [[-2.4148, -9.1337, -1.0024], [9.4713, -1.6368, -7.9030], [8.0946, -3.2793, 10.3801]], "species": ["K", "K", "K", "K", "K", "K", "K", "K", "Br", "Br", "Br", "Br", "Br", "Br", "Br", "Br", "Br", "Br", "Br", "Br", "Br", "Br", "Br", "Br", "Br", "Br", "Br", "Br", "Ga", "Ga", "Ga", "Ga"], "frac_coords": [[0.2755, 0.5000, 0.5000], [0.0000, 0.1309, 0.6692], [0.0000, 0.8691, 0.3308], [0.2245, 0.0000, 0.0000], [0.7755, 0.0000, 0.0000], [0.5000, 0.3691, 0.1692], [0.7245, 0.5000, 0.5000], [0.5000, 0.6309, 0.8308], [0.7975, 0.7864, 0.8212], [0.5000, 0.9246, 0.1626], [0.0000, 0.5754, 0.6626], [0.2975, 0.7136, 0.3212], [0.5000, 0.6378, 0.6076], [0.7975, 0.2136, 0.1788], [0.2975, 0.2864, 0.6788], [0.0000, 0.8622, 0.1076], [0.0000, 0.4246, 0.3374], [0.7025, 0.7136, 0.3212], [0.0000, 0.1254, 0.4122], [0.2025, 0.7864, 0.8212], [0.5000, 0.6254, 0.0878], [0.5000, 0.3746, 0.9122], [0.0000, 0.8746, 0.5878], [0.5000, 0.0754, 0.8374], [0.7025, 0.2864, 0.6788], [0.2025, 0.2136, 0.1788], [0.0000, 0.1378, 0.8924], [0.5000, 0.3622, 0.3924], [0.5000, 0.7462, 0.2246], [0.0000, 0.2462, 0.2754], [0.0000, 0.7538, 0.7246], [0.5000, 0.2538, 0.7754]]}

=====

(2)
{"formula": "MnCu2PI", "functional": "PBE", "state": "optimized geometry", "e_tot_ry_per_atom": -0.3464, "volume_a3_per_cell": 101, "crystal_system": "tetragonal", "m_tot_mub_per_cell": 4.96, "lattice_angstrom": [[4.4905, 0.0000, 0.0000], [0.0000, 5.0081, 0.0000], [0.0000, 0.0000, 4.4905]], "species": ["Cu", "Cu", "Mn", "I", "P"], "frac_coords": [[0.0000, 0.0000, 0.5000], [0.5000, 0.0000, 0.0000], [0.0000, 0.5000, 0.0000], [0.5000, 0.5000, 0.5000], [0.0000, 0.0000, 0.0000]]}

=====

(3)
{"formula": "NdSm2Ge3Pt4", "functional": "PBE", "state": "optimized geometry", "e_tot_ry_per_atom": -0.4503, "volume_a3_per_cell": 212, "crystal_system": "tetragonal", "m_tot_mub_per_cell": 0.00, "lattice_angstrom": [[-4.0501, 1.2673, -0.8639], [-0.5574, -3.4888, -2.5047], [-3.7267, -5.8192, 8.9350]], "species": ["Sm", "Sm", "Ge", "Ge", "Ge", "Pt", "Pt", "Pt", "Pt", "Nd"], "frac_coords": [[0.5000, 0.0000, 0.2162], [0.0000, 0.5000, 0.7838], [0.5000, 0.0000, 0.8803], [0.0000, 0.0000, 0.5000], [0.0000, 0.5000, 0.1197], [0.0000, 0.0000, 0.0000], [0.0000, 0.5000, 0.3355], [0.5000, 0.5000, 0.0000], [0.5000, 0.0000, 0.6645], [0.5000, 0.5000, 0.5000]]}

=====

(4)
{"formula": "CuIrW2", "functional": "PBE", "state": "optimized geometry", "de_polymorph_ev_per_atom": 0.410, "volume_a3_per_cell": 60, "crystal_system": "cubic", "m_tot_mub_per_cell": 0.00, "lattice_angstrom": [[1.0268, -0.4399, 4.2518], [-2.4172, -2.6061, 2.5868], [1.6689, -3.7891, 1.4776]], "species": ["W", "W", "Cu", "Ir"], "frac_coords": [[0.7500, 0.7500, 0.7500], [0.2500, 0.2500, 0.2500], [0.0000, 0.0000, 0.0000], [0.5000, 0.5000, 0.5000]]}

=====

(5)
{"formula": "CdPbC2", "functional": "PBE", "state": "optimized geometry", "de_polymorph_ev_per_atom": 0.533, "volume_a3_per_cell": 63, "crystal_system": "cubic", "m_tot_mub_per_cell": 0.00, "lattice_angstrom": [[0.0000, 3.1590, 3.1590], [3.1590, 0.0000, 3.1590], [3.1590, 3.1590, 0.0000]], "species": ["Cd", "Pb", "C", "C"], "frac_coords": [[0.0000, 0.0000, 0.0000], [0.5000, 0.5000, 0.5000], [0.7500, 0.7500, 0.7500], [0.2500, 0.2500, 0.2500]]}

=====

(6)
{"formula": "KZrS2Cl", "functional": "PBE", "state": "optimized geometry", "de_polymorph_ev_per_atom": 0.000, "volume_a3_per_cell": 132, "crystal_system": "tetragonal", "m_tot_mub_per_cell": 0.00, "lattice_angstrom": [[-1.3366, -3.0000, 3.8057], [-2.0638, -3.2195, -3.2627], [4.5402, -2.5163, -0.3889]], "species": ["Cl", "S", "S", "K", "Zr"], "frac_coords": [[0.0000, 0.0000, 0.5000], [0.5000, 0.0000, 0.0000], [0.0000, 0.5000, 0.0000], [0.5000, 0.5000, 0.5000], [0.0000, 0.0000, 0.0000]]}

=====

(7)
{"formula": "Cu3Pt", "functional": "PBE", "state": "optimized geometry", "e_tot_ry_per_atom": -0.3448, "volume_a3_per_cell": 209, "crystal_system": "orthorhombic", "m_tot_mub_per_cell": 0.00, "lattice_angstrom": [[4.6522, 0.0000, 0.0000], [0.0000, 8.5646, 0.0000], [0.0000, 0.0000, 5.2432]], "species": ["Cu", "Cu", "Cu", "Cu", "Cu", "Cu", "Cu", "Cu", "Cu", "Cu", "Cu", "Cu", "Pt", "Pt", "Pt", "Pt"], "frac_coords": [[0.7458, 0.0017, 0.6318], [0.9225, 0.2500, 0.8789], [0.5775, 0.7500, 0.3789], [0.7542, 0.5017, 0.1318], [0.2458, 0.0017, 0.8682], [0.2542, 0.5017, 0.3682], [0.7542, 0.9983, 0.1318], [0.2542, 0.9983, 0.3682], [0.7458, 0.4983, 0.6318], [0.0775, 0.7500, 0.1211], [0.4225, 0.2500, 0.6211], [0.2458, 0.4983, 0.8682], [0.0760, 0.7500, 0.6127], [0.9240, 0.2500, 0.3873], [0.4240, 0.2500, 0.1127], [0.5760, 0.7500, 0.8873]]}

=====

(8)
{"formula": "LaHgTe2", "functional": "PBE", "state": "optimized geometry", "e_tot_ry_per_atom": -0.2775, "volume_a3_per_cell": 135, "crystal_system": "tetragonal", "m_tot_mub_per_cell": 0.00, "lattice_angstrom": [[4.4850, 0.0000, 0.0000], [0.0000, 4.4850, 0.0000], [0.0000, 0.0000, 6.7277]], "species": ["Te", "Te", "La", "Hg"], "frac_coords": [[0.5000, 0.5000, 0.3735], [0.0000, 0.0000, 0.8779], [0.5000, 0.5000, 0.8696], [0.0000, 0.0000, 0.3790]]}

=====

(9)
{"formula": "Ho4ErAl", "functional": "PBE", "state": "optimized geometry", "de_polymorph_ev_per_atom": 0.000, "volume_a3_per_cell": 171, "crystal_system": "tetragonal", "m_tot_mub_per_cell": 0.00, "lattice_angstrom": [[3.5031, 0.0000, 0.0000], [0.0000, 3.5031, 0.0000], [0.0000, 0.0000, 13.9326]], "species": ["Ho", "Ho", "Ho", "Ho", "Er", "Al"], "frac_coords": [[0.5000, 0.5000, 0.1789], [0.0000, 0.0000, 0.3627], [0.0000, 0.0000, 0.6373], [0.5000, 0.5000, 0.8211], [0.0000, 0.0000, 0.0000], [0.5000, 0.5000, 0.5000]]}

=====

(10)
{"formula": "BaSiO3", "functional": "PBE", "state": "optimized geometry", "e_tot_ry_per_atom": -0.5243, "volume_a3_per_cell": 184, "crystal_system": "trigonal", "m_tot_mub_per_cell": 0.00, "lattice_angstrom": [[7.4793, 0.0000, 0.0000], [5.3668, 5.2093, 0.0000], [5.3668, 2.1763, 4.7329]], "species": ["O", "O", "O", "O", "O", "O", "O", "O", "O", "Ba", "Ba", "Ba", "Si", "Si", "Si"], "frac_coords": [[0.6995, 0.6995, 0.2758], [0.7242, 0.3005, 0.3005], [0.5000, 0.5000, 0.0000], [0.0000, 0.5000, 0.5000], [0.3005, 0.7242, 0.3005], [0.3005, 0.3005, 0.7242], [0.6995, 0.2758, 0.6995], [0.5000, 0.0000, 0.5000], [0.2758, 0.6995, 0.6995], [0.0000, 0.0000, 0.0000], [0.7860, 0.7860, 0.7860], [0.2140, 0.2140, 0.2140], [0.3808, 0.3808, 0.3808], [0.5000, 0.5000, 0.5000], [0.6192, 0.6192, 0.6192]]}

=====

(11)
{"formula": "CoRh2", "functional": "PBE", "state": "optimized geometry", "e_tot_ry_per_atom": -0.5309, "volume_a3_per_cell": 79, "crystal_system": "tetragonal", "m_tot_mub_per_cell": 3.93, "lattice_angstrom": [[-9.5620, -3.9515, -3.4823], [0.0163, -1.8032, 2.0014], [-1.2997, 1.7479, 1.5853]], "species": ["Co", "Co", "Rh", "Rh", "Rh", "Rh"], "frac_coords": [[0.1548, 0.5000, 0.5000], [0.0119, 0.0000, 0.0000], [0.4956, 0.5000, 0.5000], [0.8495, 0.5000, 0.5000], [0.3172, 0.0000, 0.0000], [0.6711, 0.0000, 0.0000]]}

=====

(12)
{"formula": "RbPPd2W", "functional": "PBE", "state": "optimized geometry", "e_tot_ry_per_atom": -0.4020, "volume_a3_per_cell": 121, "crystal_system": "tetragonal", "m_tot_mub_per_cell": 0.00, "lattice_angstrom": [[5.0582, 0.0000, 0.0000], [0.0000, 4.7153, 0.0000], [0.0000, 0.0000, 5.0582]], "species": ["Rb", "P", "W", "Pd", "Pd"], "frac_coords": [[0.5000, 0.5000, 0.5000], [0.0000, 0.5000, 0.0000], [0.0000, 0.0000, 0.0000], [0.5000, 0.0000, 0.0000], [0.0000, 0.0000, 0.5000]]}